# PBE U2TcOs, optimized geometry
# - energy relative to the elements (eV/f.u.) = -0.4
# - E_tot (eV/atom) = -11.14
data_U2TcOs
_chemical_formula_sum 'U8 Tc4 Os4'
_cell_length_a 6.105
_cell_length_b 10.629
_cell_length_c 4.535
_cell_angle_alpha 90.00
_cell_angle_beta 98.81
_cell_angle_gamma 90.00
_symmetry_space_group_name_H-M 'C 1 2/c 1'
_symmetry_Int_Tables_number 15
_symmetry_space_group_name_Hall '-C 2yc'
loop_
_atom_site_label
_atom_site_fract_x
_atom_site_fract_y
_atom_site_fract_z
_atom_site_occupancy
U1 0.240 0.164 0.244 1
Tc1 0.000 0.089 0.750 1
Os1 0.000 0.412 0.250 1



# PBE U2TcOs, optimized geometry
# - energy relative to the elements (eV/f.u.) = 1.2
# - E_tot (eV/atom) = -10.74
data_U2TcOs
_chemical_formula_sum 'U6 Tc3 Os3'
_cell_length_a 2.9981
_cell_length_b 2.9981
_cell_length_c 27.9391
_cell_angle_alpha 90.00
_cell_angle_beta 90.00
_cell_angle_gamma 120.00
_symmetry_space_group_name_H-M 'R -3 m'
_symmetry_Int_Tables_number 166
_symmetry_space_group_name_Hall '-R 3 2"'
loop_
_atom_site_label
_atom_site_fract_x
_atom_site_fract_y
_atom_site_fract_z
_atom_site_occupancy
U1 0.0000 0.0000 0.2491 1
Tc1 0.0000 0.0000 0.5000 1
Os1 0.0000 0.0000 0.0000 1



# PBE UTcOs, optimized geometry
# - energy relative to the elements (eV/f.u.) = 0.0
# - E_tot (eV/atom) = -10.96
data_UTcOs
_chemical_formula_sum 'U2 Tc2 Os2'
_cell_length_a 4.5572
_cell_length_b 4.5572
_cell_length_c 5.7227
_cell_angle_alpha 90.00
_cell_angle_beta 90.00
_cell_angle_gamma 120.00
_symmetry_space_group_name_H-M 'P 63/m m c'
_symmetry_Int_Tables_number 194
_symmetry_space_group_name_Hall '-P 6c 2c'
loop_
_atom_site_label
_atom_site_fract_x
_atom_site_fract_y
_atom_site_fract_z
_atom_site_occupancy
U1 0.3333 0.6667 0.2500 1
Tc1 0.3333 0.6667 0.7500 1
Os1 0.0000 0.0000 0.0000 1



# PBE UTcOs, optimized geometry
# - energy relative to the elements (eV/f.u.) = 0.7
# - E_tot (eV/atom) = -10.74
data_UTcOs
_chemical_formula_sum 'U4 Tc4 Os4'
_cell_length_a 3.886
_cell_length_b 5.148
_cell_length_c 12.033
_cell_angle_alpha 90.00
_cell_angle_beta 90.00
_cell_angle_gamma 90.00
_symmetry_space_group_name_H-M 'I m m m'
_symmetry_Int_Tables_number 71
_symmetry_space_group_name_Hall '-I 2 2'
loop_
_atom_site_label
_atom_site_fract_x
_atom_site_fract_y
_atom_site_fract_z
_atom_site_occupancy
U1 0.000 0.000 0.185 1
Tc1 0.000 0.000 0.373 1
Os1 0.000 0.253 0.000 1



# PBE UTcOs, optimized geometry
# - energy relative to the elements (eV/f.u.) = 1.2
# - E_tot (eV/atom) = -10.57
data_UTcOs
_chemical_formula_sum 'U2 Tc2 Os2'
_cell_length_a 7.697
_cell_length_b 2.973
_cell_length_c 5.068
_cell_angle_alpha 90.00
_cell_angle_beta 90.00
_cell_angle_gamma 90.00
_symmetry_space_group_name_H-M 'P m m a'
_symmetry_Int_Tables_number 51
_symmetry_space_group_name_Hall '-P 2a 2a'
loop_
_atom_site_label
_atom_site_fract_x
_atom_site_fract_y
_atom_site_fract_z
_atom_site_occupancy
U1 0.250 0.000 0.160 1
Tc1 0.000 0.000 0.500 1
Os1 0.250 0.500 0.724 1



# PBE U6TcOs, optimized geometry
# - energy relative to the elements (eV/f.u.) = 1.6
# - E_tot (eV/atom) = -10.97
data_U6TcOs
_chemical_formula_sum 'U12 Tc2 Os2'
_cell_length_a 7.493
_cell_length_b 6.507
_cell_length_c 7.931
_cell_angle_alpha 90.00
_cell_angle_beta 112.67
_cell_angle_gamma 90.00
_symmetry_space_group_name_H-M 'C 1 2/m 1'
_symmetry_Int_Tables_number 12
_symmetry_space_group_name_Hall '-C 2y'
loop_
_atom_site_label
_atom_site_fract_x
_atom_site_fract_y
_atom_site_fract_z
_atom_site_occupancy
U1 0.115 0.238 0.312 1
U2 0.183 0.000 0.084 1
Tc1 0.000 0.500 0.500 1
Os1 0.000 0.500 0.000 1



# PBE U2TcOs, optimized geometry
# - energy relative to the elements (eV/f.u.) = 0.1
# - E_tot (eV/atom) = -11.02
data_U2TcOs
_chemical_formula_sum 'U2 Tc1 Os1'
_cell_length_a 4.571
_cell_length_b 4.571
_cell_length_c 3.660
_cell_angle_alpha 90.00
_cell_angle_beta 90.00
_cell_angle_gamma 90.00
_symmetry_space_group_name_H-M 'P 4/m m m'
_symmetry_Int_Tables_number 123
_symmetry_space_group_name_Hall '-P 4 2'
loop_
_atom_site_label
_atom_site_fract_x
_atom_site_fract_y
_atom_site_fract_z
_atom_site_occupancy
U1 0.000 0.500 0.000 1
Tc1 0.000 0.000 0.500 1
Os1 0.500 0.500 0.500 1



# PBE UTcOs, optimized geometry
# - energy relative to the elements (eV/f.u.) = 0.3
# - E_tot (eV/atom) = -10.85
data_UTcOs
_chemical_formula_sum 'U1 Tc1 Os1'
_cell_length_a 4.5441
_cell_length_b 4.5441
_cell_length_c 2.8194
_cell_angle_alpha 90.00
_cell_angle_beta 90.00
_cell_angle_gamma 120.00
_symmetry_space_group_name_H-M 'P 3 m 1'
_symmetry_Int_Tables_number 156
_symmetry_space_group_name_Hall 'P 3 -2"'
loop_
_atom_site_label
_atom_site_fract_x
_atom_site_fract_y
_atom_site_fract_z
_atom_site_occupancy
U1 0.0000 0.0000 0.0000 1
Tc1 0.3333 0.6667 0.2572 1
Os1 0.6667 0.3333 0.7198 1



# PBE U4Tc4Os, optimized geometry
# - energy relative to the elements (eV/f.u.) = 2.1
# - E_tot (eV/atom) = -10.64
data_U4Tc4Os
_chemical_formula_sum 'U8 Tc8 Os2'
_cell_length_a 7.602
_cell_length_b 7.602
_cell_length_c 6.241
_cell_angle_alpha 90.00
_cell_angle_beta 90.00
_cell_angle_gamma 90.00
_symmetry_space_group_name_H-M 'P 42/n m c'
_symmetry_Int_Tables_number 137
loop_
_symmetry_equiv_pos_as_xyz
'x,y,z'
'-x,-y,-z'
'-y+1/2,x,z+1/2'
'y+1/2,-x,-z+1/2'
'-x+1/2,-y+1/2,z'
'x+1/2,y+1/2,-z'
'y,-x+1/2,z+1/2'
'-y,x+1/2,-z+1/2'
'x+1/2,-y,-z'
'-x+1/2,y,z'
'-y,-x,-z+1/2'
'y,x,z+1/2'
'-x,y+1/2,-z'
'x,-y+1/2,z'
'y+1/2,x+1/2,-z+1/2'
'-y+1/2,-x+1/2,z+1/2'
loop_
_atom_site_label
_atom_site_fract_x
_atom_site_fract_y
_atom_site_fract_z
_atom_site_occupancy
U1 0.054 0.250 0.068 1
Tc1 0.014 0.750 0.405 1
Os1 0.250 0.750 0.750 1



# PBE UVTcOs, optimized geometry
# - energy relative to the elements (eV/f.u.) = 0.2
# - E_tot (eV/atom) = -10.46
data_UVTcOs
_chemical_formula_sum 'U4 V4 Tc4 Os4'
_cell_length_a 6.435
_cell_length_b 6.435
_cell_length_c 6.435
_cell_angle_alpha 90.00
_cell_angle_beta 90.00
_cell_angle_gamma 90.00
_symmetry_space_group_name_H-M 'F -4 3 m'
_symmetry_Int_Tables_number 216
_symmetry_space_group_name_Hall 'F -4 2 3'
loop_
_atom_site_label
_atom_site_fract_x
_atom_site_fract_y
_atom_site_fract_z
_atom_site_occupancy
U1 0.000 0.000 0.000 1
V1 0.000 0.000 0.500 1
Tc1 0.250 0.250 0.250 1
Os1 0.250 0.250 0.750 1



# PBE YUTcOs, optimized geometry
# - energy relative to the elements (eV/f.u.) = 0.0
# - E_tot (eV/atom) = -9.83
data_YUTcOs
_chemical_formula_sum 'Y4 U4 Tc4 Os4'
_cell_length_a 6.809
_cell_length_b 6.809
_cell_length_c 6.809
_cell_angle_alpha 90.00
_cell_angle_beta 90.00
_cell_angle_gamma 90.00
_symmetry_space_group_name_H-M 'F -4 3 m'
_symmetry_Int_Tables_number 216
_symmetry_space_group_name_Hall 'F -4 2 3'
loop_
_atom_site_label
_atom_site_fract_x
_atom_site_fract_y
_atom_site_fract_z
_atom_site_occupancy
Y1 0.000 0.000 0.000 1
U1 0.000 0.000 0.500 1
Tc1 0.250 0.250 0.250 1
Os1 0.250 0.250 0.750 1



# PBE ZrUTcOs, optimized geometry
# - energy relative to the elements (eV/f.u.) = -0.7
# - E_tot (eV/atom) = -10.53
data_ZrUTcOs
_chemical_formula_sum 'Zr4 U4 Tc4 Os4'
_cell_length_a 6.682
_cell_length_b 6.682
_cell_length_c 6.682
_cell_angle_alpha 90.00
_cell_angle_beta 90.00
_cell_angle_gamma 90.00
_symmetry_space_group_name_H-M 'F -4 3 m'
_symmetry_Int_Tables_number 216
_symmetry_space_group_name_Hall 'F -4 2 3'
loop_
_atom_site_label
_atom_site_fract_x
_atom_site_fract_y
_atom_site_fract_z
_atom_site_occupancy
Zr1 0.000 0.000 0.000 1
U1 0.000 0.000 0.500 1
Tc1 0.250 0.250 0.250 1
Os1 0.250 0.250 0.750 1